No. 1
The following is a PBE-GGA calculation of a geometry-optimized SiHg2Pt structure, from Alexandria via LeMat-Bulk.

abc: 3.1048 3.1048 8.4376
angles: 90.00 90.00 90.00
Sites, in units of the cell vectors:
Si (0.0000, 0.0000, 0.0000)
Hg (0.0000, 0.0000, 0.5898)
Hg (0.5000, 0.5000, 0.2877)
Pt (0.5000, 0.5000, 0.8561)

Values from the calculation:
Total magnetic moment ... 0.00 μB/f.u.
Energy relative to the elements, uncorrected ... -3 kJ/mol of formula units
D(E_F) ... 1.23 states/eV/f.u.

***

No. 2
The following is a PBE-GGA calculation of a geometry-optimized SiHg2Pt structure, from Alexandria via LeMat-Bulk.

abc: 2.8195 3.8858 8.3684
angles: 90.00 90.00 90.00
Sites, in units of the cell vectors:
Si (0.0000, 0.0000, 0.0000)
Hg (0.0000, 0.0000, 0.6826)
Hg (0.5000, 0.5000, 0.4066)
Pt (0.5000, 0.5000, 0.0599)

Values from the calculation:
Total magnetic moment ... 0.00 μB/f.u.
Energy relative to the elements, uncorrected ... -31 kJ/mol of formula units
D(E_F) ... 1.22 states/eV/f.u.

***

No. 3
The following is a PBE-GGA calculation of a geometry-optimized Si2HgPt structure, from Alexandria via LeMat-Bulk.

abc: 5.5181 6.3766 8.2393
angles: 90.00 90.00 90.00
Sites, in units of the cell vectors:
Si (0.0000, 0.2500, 0.2500)
Si (0.0000, 0.2500, 0.7500)
Si (0.0000, 0.7500, 0.2500)
Si (0.0000, 0.7500, 0.7500)
Si (0.5000, 0.2500, 0.2500)
Si (0.5000, 0.2500, 0.7500)
Si (0.5000, 0.7500, 0.2500)
Si (0.5000, 0.7500, 0.7500)
Hg (0.0000, 0.0000, 0.0000)
Hg (0.0000, 0.5000, 0.5000)
Hg (0.5000, 0.0000, 0.5000)
Hg (0.5000, 0.5000, 0.0000)
Pt (0.0000, 0.0000, 0.5000)
Pt (0.0000, 0.5000, 0.0000)
Pt (0.5000, 0.0000, 0.0000)
Pt (0.5000, 0.5000, 0.5000)

Values from the calculation:
Total magnetic moment ... 0.00 μB/f.u.
Energy relative to the elements, uncorrected ... 100 kJ/mol of formula units
D(E_F) ... 1.66 states/eV/f.u.